No. 1
Here is a relaxed structure of Ni5H2 from Alexandria. Energies are from GGA-PBE.

Properties
- final energy (eV/atom) = -5.011
- calculated volume (Å³/atom) = 8.6
- density of states at the Fermi level (states/eV/cell) = 38.860

a b c (Å): 11.6842 4.1753 4.9168
angles (deg): 90.00 90.87 90.00
Closest atoms and distances in Å follow each position.
Space group C2/c (No. 15)
Inequivalent atoms, fractional coordinates:
Ni 0.0000 0.0428 0.2500 [4 per cell]  2 H 2.23, 4 Ni 2.47-2.48
Ni 0.0972 0.4486 0.5637 [8 per cell]  2 H 1.76-1.78
Ni 0.2072 0.0483 0.1548 [8 per cell]  3 H 1.71-1.83
H 0.1539 0.2495 0.8553 [8 per cell]  5 Ni 1.71-1.83


No. 2
Here is a relaxed structure of Ni2H3 from Alexandria. Energies are from GGA-PBE.

Properties
- final energy (eV/atom) = -4.287
- calculated volume (Å³/atom) = 6.1
- density of states at the Fermi level (states/eV/cell) = 6.455

a b c (Å): 7.8608 4.3088 4.2767
angles (deg): 90.00 122.68 90.00
Closest atoms and distances in Å follow each position.
Space group C2/c (No. 15)
Inequivalent atoms, fractional coordinates:
Ni 0.1222 0.2487 0.1351 [8 per cell]  6 H 1.68-1.87
H 0.0000 0.4727 0.7500 [4 per cell]  4 Ni 1.69-1.76
H 0.1415 0.1219 0.5387 [8 per cell]  4 Ni 1.68-1.87


No. 3
Here is a relaxed structure of Ni3H from Alexandria. Energies are from GGA-PBE.

Properties
- final energy (eV/atom) = -4.658
- calculated volume (Å³/atom) = 9.6
- density of states at the Fermi level (states/eV/cell) = 21.449
- polymorph energy (0 for the lowest one) (eV per atom) = 0.448

a b c (Å): 5.3599 5.3599 5.3599
angles (deg): 90.00 90.00 90.00
Closest atoms and distances in Å follow each position.
Space group Fm-3m (No. 225)
Inequivalent atoms, fractional coordinates:
Ni 0.0000 0.0000 0.0000 [4 per cell]  8 Ni 2.32
Ni 0.2500 0.2500 0.2500 [8 per cell]  4 H 2.32, 4 Ni 2.32
H 0.0000 0.0000 0.5000 [4 per cell]  8 Ni 2.32


No. 4
Here is a relaxed structure of Ni3H from Alexandria. Energies are from GGA-PBE.

Properties
- final energy (eV/atom) = -5.025
- calculated volume (Å³/atom) = 9.1
- density of states at the Fermi level (states/eV/cell) = 47.016
- polymorph energy (0 for the lowest one) (eV per atom) = 0.081

a b c (Å): 8.3889 8.3889 4.1309
angles (deg): 90.00 90.00 90.00
Closest atoms and distances in Å follow each position.
Space group I-4 (No. 82)
Inequivalent atoms, fractional coordinates:
Ni 0.0027 0.3545 0.4917 [8 per cell]  3 H 1.70-1.80
Ni 0.0952 0.0975 0.7335 [8 per cell]  8 Ni 2.29-2.52, 1 H 2.53
Ni 0.1938 0.7993 0.7865 [8 per cell]  2 H 2.25-2.41, 7 Ni 2.32-2.46
H 0.0043 0.3598 0.0565 [8 per cell]  3 Ni 1.70-1.80


No. 5
Here is a relaxed structure of Ni7H5 from Alexandria. Energies are from GGA-PBE.

Properties
- final energy (eV/atom) = -4.763
- calculated volume (Å³/atom) = 7.3
- density of states at the Fermi level (states/eV/cell) = 28.570

a b c (Å): 8.4205 2.5488 8.4798
angles (deg): 90.00 106.01 90.00
Closest atoms and distances in Å follow each position.
Space group C2/m (No. 12)
Inequivalent atoms, fractional coordinates:
Ni 0.0000 0.0000 0.0000 [2 per cell]  4 H 1.83
Ni 0.0368 0.5000 0.2814 [4 per cell]  4 H 1.78-1.96
Ni 0.1525 0.0000 0.5645 [4 per cell]  5 H 1.78-1.85
Ni 0.2332 0.0000 0.8641 [4 per cell]  3 H 1.77-1.94
H 0.0000 0.5000 0.5000 [2 per cell]  6 Ni 1.78-1.96
H 0.1118 0.5000 0.9189 [4 per cell]  6 Ni 1.77-1.94
H 0.1842 0.0000 0.3609 [4 per cell]  5 Ni 1.78-1.85


No. 6
Here is a relaxed structure of Ni5H7 from Alexandria. Energies are from GGA-PBE.

Properties
- final energy (eV/atom) = -4.354
- calculated volume (Å³/atom) = 6.1
- density of states at the Fermi level (states/eV/cell) = 6.837

a b c (Å): 8.4995 2.5924 6.9743
angles (deg): 90.00 107.28 90.00
Closest atoms and distances in Å follow each position.
Space group C2/m (No. 12)
Inequivalent atoms, fractional coordinates:
Ni 0.0000 0.0000 0.0000 [2 per cell]  6 H 1.67-1.75
Ni 0.1161 0.0000 0.4235 [4 per cell]  6 H 1.66-1.80
Ni 0.1817 0.5000 0.8033 [4 per cell]  3 H 1.72-1.77
H 0.0000 0.5000 0.5000 [2 per cell]  4 Ni 1.80
H 0.0449 0.0000 0.7819 [4 per cell]  4 Ni 1.66-1.72
H 0.1448 0.5000 0.0402 [4 per cell]  3 Ni 1.75-1.77
H 0.2270 0.5000 0.3508 [4 per cell]  3 Ni 1.73-1.76


No. 7
Here is a relaxed structure of Ni5H3 from Alexandria. Energies are from GGA-PBE.

Properties
- final energy (eV/atom) = -4.791
- calculated volume (Å³/atom) = 7.9
- density of states at the Fermi level (states/eV/cell) = 21.064

a b c (Å): 6.2041 8.0356 2.5461
angles (deg): 90.00 90.00 90.00
Closest atoms and distances in Å follow each position.
Space group Pbam (No. 55)
Inequivalent atoms, fractional coordinates:
Ni 0.0000 0.0000 0.0000 [2 per cell]  4 H 1.83
Ni 0.1603 0.3078 0.0000 [4 per cell]  3 H 1.82-1.84
Ni 0.1704 0.5863 0.5000 [4 per cell]  3 H 1.77-1.79
H 0.0000 0.5000 0.0000 [2 per cell]  6 Ni 1.79-1.84
H 0.1704 0.9035 0.5000 [4 per cell]  5 Ni 1.77-1.83


No. 8
Here is a relaxed structure of Ni3H from Alexandria. Energies are from GGA-PBE.

Properties
- final energy (eV/atom) = -5.073
- calculated volume (Å³/atom) = 8.9
- density of states at the Fermi level (states/eV/cell) = 11.682
- polymorph energy (0 for the lowest one) (eV per atom) = 0.033

a b c (Å): 2.4542 6.8553 4.2108
angles (deg): 90.00 90.00 90.00
Closest atoms and distances in Å follow each position.
Space group Imm2 (No. 44)
Inequivalent atoms, fractional coordinates:
Ni 0.0000 0.0000 0.0000 [2 per cell]  2 H 2.14
Ni 0.0000 0.1851 0.5017 [4 per cell]  2 H 1.80
H 0.0000 0.5000 0.9173 [2 per cell]  4 Ni 1.80


No. 9
Here is a relaxed structure of Ni3H2 from Alexandria. Energies are from GGA-PBE.

Properties
- final energy (eV/atom) = -4.839
- calculated volume (Å³/atom) = 7.3
- density of states at the Fermi level (states/eV/cell) = 34.608

a b c (Å): 4.4593 4.4593 12.7695
angles (deg): 90.00 90.00 120.00
Closest atoms and distances in Å follow each position.
Space group R-3c (No. 167, hexagonal axes)
Inequivalent atoms, fractional coordinates:
Ni 0.0002 0.3333 0.0833 [18 per cell]  4 H 1.78-1.88
H 0.0000 0.0000 0.1602 [12 per cell]  6 Ni 1.78-1.88


No. 10
Here is a relaxed structure of Ni4H from Alexandria. Energies are from GGA-PBE.

Properties
- final energy (eV/atom) = -5.280
- calculated volume (Å³/atom) = 9.2
- density of states at the Fermi level (states/eV/cell) = 8.127

a b c (Å): 3.5775 3.5775 3.5775
angles (deg): 90.00 90.00 90.00
Closest atoms and distances in Å follow each position.
Space group Pm-3m (No. 221)
Inequivalent atoms, fractional coordinates:
Ni 0.0000 0.0000 0.0000 [1 per cell]  12 Ni 2.53
Ni 0.0000 0.5000 0.5000 [3 per cell]  2 H 1.79
H 0.5000 0.5000 0.5000 [1 per cell]  6 Ni 1.79


No. 11
Here is a relaxed structure of Ni3H from Alexandria. Energies are from GGA-PBE.

Properties
- final energy (eV/atom) = -5.106
- calculated volume (Å³/atom) = 8.7
- density of states at the Fermi level (states/eV/cell) = 23.420
- polymorph energy (0 for the lowest one) (eV per atom) = 0.000

a b c (Å): 2.4640 8.2087 6.8755
angles (deg): 90.00 90.00 90.00
Closest atoms and distances in Å follow each position.
Space group Cmcm (No. 63)
Inequivalent atoms, fractional coordinates:
Ni 0.0000 0.0967 0.2500 [4 per cell]  2 H 1.83
Ni 0.0000 0.3674 0.0739 [8 per cell]  2 H 1.93
H 0.0000 0.2382 0.7500 [4 per cell]  6 Ni 1.83-1.93


No. 12
Here is a relaxed structure of NiH2 from Alexandria. Energies are from GGA-PBE.

Properties
- final energy (eV/atom) = -4.091
- calculated volume (Å³/atom) = 7.1
- density of states at the Fermi level (states/eV/cell) = 7.704

a b c (Å): 3.2351 3.2351 8.0869
angles (deg): 90.00 90.00 90.00
Closest atoms and distances in Å follow each position.
Space group I4_1/amd (No. 141, origin choice 2)
Inequivalent atoms, fractional coordinates:
Ni 0.0000 0.2500 0.3750 [4 per cell]  6 H 1.66
H 0.0000 0.2500 0.1695 [8 per cell]  3 Ni 1.66